# 1
Below is crystalline Ta2NO3 at its relaxed geometry, with properties calculated at the GGA-PBE level.

Raw total energy, Ha/atom: -0.3677
Total moment, μB per cell: 0.0
Space-group type: Amm2

```
6
Lattice="-2.1907 -0.1058 2.0543 2.7824 -2.8139 2.8222 1.7925 3.9912 2.1171" Properties=species:S:1:pos:R:3 pbc="T T T"
N 0.9210 0.2370 0.9944
O 1.4024 -0.8521 3.6495
O 0.9980 1.9277 3.3615
O 3.6505 0.9394 3.9412
Ta -1.0652 -0.0452 1.0597
Ta 2.2447 0.5776 2.4235
```



# 2
Below is crystalline TbTaNO at its relaxed geometry, with properties calculated at the GGA-PBE level.

Raw total energy, Ha/atom: -0.3375
Total moment, μB per cell: 0.0
Space-group type: P4/nmm

```
8
Lattice="4.0038 0.0000 0.0000 0.0000 4.0038 0.0000 0.0000 0.0000 8.1006" Properties=species:S:1:pos:R:3 pbc="T T T"
N 3.0029 3.0029 3.3954
N 1.0010 1.0010 4.7052
O 3.0029 1.0010 0.0000
O 1.0010 3.0029 0.0000
Ta 3.0029 1.0010 4.0503
Ta 1.0010 3.0029 4.0503
Tb 1.0010 1.0010 1.0527
Tb 3.0029 3.0029 7.0479
```



# 3
Below is crystalline TbTaNO at its relaxed geometry, with properties calculated at the GGA-PBE level.

Raw total energy, Ha/atom: -0.3367
Total moment, μB per cell: 0.0
Space-group type: Pbcm

```
16
Lattice="6.5046 0.0000 0.0000 0.0000 7.6697 0.0000 0.0000 0.0000 4.5558" Properties=species:S:1:pos:R:3 pbc="T T T"
N 2.7412 3.1757 0.2314
N 5.9935 4.4940 0.2314
N 0.5111 3.1757 2.5093
N 3.7634 4.4940 2.5093
O 5.8612 1.2022 0.2300
O 2.6089 6.4675 0.2300
O 3.8957 1.2022 2.5080
O 0.6434 6.4675 2.5080
Ta 0.7063 2.8193 0.2305
Ta 3.9586 4.8504 0.2305
Ta 2.5460 2.8193 2.5085
Ta 5.7983 4.8504 2.5085
Tb 3.5479 0.9890 0.2301
Tb 0.2955 6.6807 0.2301
Tb 6.2090 0.9890 2.5080
Tb 2.9568 6.6807 2.5080
```